DFT (GGA+U) results for a relaxed structure of TaMnGeO6.

Cell lengths 5.0843, 5.0843, 8.9226 Å; angles 90.00, 90.00, 120.00 degrees
Last column: nearest neighbours and their distance in Å.
Fractional positions:
1 Ta 0.3333 0.6667 0.2500  6 O 2.00
2 Ta 0.6667 0.3333 0.7500  6 O 2.00
3 Mn 0.0000 0.0000 0.0000  6 O 2.13
4 Mn 0.0000 0.0000 0.5000  6 O 2.13
5 Ge 0.3333 0.6667 0.7500  6 O 1.92
6 Ge 0.6667 0.3333 0.2500  6 O 1.92
7 O 0.0116 0.3539 0.6326  1 Ge 1.92, 1 Ta 2.00, 1 Mn 2.13
8 O 0.0116 0.6578 0.8674  1 Ge 1.92, 1 Ta 2.00, 1 Mn 2.13
9 O 0.3422 0.3539 0.8674  1 Ge 1.92, 1 Ta 2.00, 1 Mn 2.13
10 O 0.3422 0.9884 0.6326  1 Ge 1.92, 1 Ta 2.00, 1 Mn 2.13
11 O 0.3539 0.0116 0.1326  1 Ge 1.92, 1 Ta 2.00, 1 Mn 2.13
12 O 0.3539 0.3422 0.3674  1 Ge 1.92, 1 Ta 2.00, 1 Mn 2.13
13 O 0.6461 0.6578 0.6326  1 Ge 1.92, 1 Ta 2.00, 1 Mn 2.13
14 O 0.6461 0.9884 0.8674  1 Ge 1.92, 1 Ta 2.00, 1 Mn 2.13
15 O 0.6578 0.0116 0.3674  1 Ge 1.92, 1 Ta 2.00, 1 Mn 2.13
16 O 0.6578 0.6461 0.1326  1 Ge 1.92, 1 Ta 2.00, 1 Mn 2.13
17 O 0.9884 0.3422 0.1326  1 Ge 1.92, 1 Ta 2.00, 1 Mn 2.13
18 O 0.9884 0.6461 0.3674  1 Ge 1.92, 1 Ta 2.00, 1 Mn 2.13

The crystal system is trigonal. The magnetization comes out at 4.0 μB/f.u. Its total energy is -0.29050 hartree per atom.